Material: Ce3PrEr2Se6
Method: DFT, GGA-PBE
State: optimized geometry

Summary:
uncorrected energy = -6.175 eV/atom
raw formation energy = -1.790 eV/atom

extended XYZ file:
```
12
Lattice="-1.804 5.937 3.612 -4.143 -5.850 0.405 5.596 -2.212 4.051" Properties=species:S:1:pos:R:3 pbc="T T T"
Se 2.684 -1.665 4.165
Se 0.203 0.426 6.618
Se 0.253 1.520 2.557
Se -0.554 -2.551 1.450
Se -3.035 -0.460 3.903
Se -0.605 -3.645 5.510
Ce -0.176 -1.063 4.034
Ce 0.618 2.936 5.121
Ce -0.969 -5.061 2.946
Er -3.365 -1.931 1.471
Er -2.582 2.018 2.545
Pr 0.000 0.000 0.000
```